(1)
# PBE AlAsOs2, relaxed
data_AlAsOs2
_cell_length_a 3.039
_cell_length_b 3.039
_cell_length_c 6.111
_cell_angle_alpha 90.00
_cell_angle_beta 90.00
_cell_angle_gamma 90.00
_space_group_name_H-M_alt 'P 4/m m m'
_space_group_IT_number 123
_space_group_name_Hall '-P 4 2'
loop_
_atom_site_label
_atom_site_type_symbol
_atom_site_fract_x
_atom_site_fract_y
_atom_site_fract_z
Al1 Al 0.000 0.000 0.000
As1 As 0.000 0.000 0.500
Os1 Os 0.500 0.500 0.251
# Magnetization (Bohr magnetons per cell): 0.00
# Formation energy (meV/atom): -42
# Energy relative to the lowest polymorph listed for this composition (kcal/mol of atoms): 0.00
# DOS(E_F) (states/eV/f.u.): 1.14

(2)
# PBE RbTm2Se3, relaxed
data_RbTm2Se3
_cell_length_a 4.381
_cell_length_b 15.996
_cell_length_c 11.137
_cell_angle_alpha 90.00
_cell_angle_beta 90.00
_cell_angle_gamma 90.00
_space_group_name_H-M_alt 'C m c m'
_space_group_IT_number 63
_space_group_name_Hall '-C 2c 2'
loop_
_atom_site_label
_atom_site_type_symbol
_atom_site_fract_x
_atom_site_fract_y
_atom_site_fract_z
Rb1 Rb 0.000 0.235 0.250
Tm1 Tm 0.000 0.037 0.750
Tm2 Tm 0.000 0.500 0.000
Se1 Se 0.000 0.120 0.542
Se2 Se 0.000 0.440 0.750
# Energy relative to the elements, uncorrected (eV per formula unit): -9.1
# Magnetization (Bohr magnetons per cell): 0.00
# DOS(E_F) (states/eV/f.u.): 3.12

Q: The lowest DOS(E_F) belongs to which entry?
A: AlAsOs2

Q: Look up the magnetization of the second one.
A: 0.00 Bohr magnetons per cell

Q: Among the records above, which one has the lowest DOS(E_F)?
A: AlAsOs2